[1]
An optimized crystal structure of LaCrIn2, computed with GGA-PBE.

calculated volume	25.4	Å³ per atom
DFT formation energy	0.5800	eV/atom
Fermi-level density of states	19.6	states/eV per cell

Unit cell a=4.355 b=4.355 c=21.448 alpha=90.00 beta=90.00 gamma=90.00
Fractional coordinates of all 16 atoms:
La1 0.000 0.000 0.000
La2 0.000 0.500 0.250
La3 0.500 0.000 0.750
La4 0.500 0.500 0.500
Cr1 0.000 0.000 0.500
Cr2 0.000 0.500 0.750
Cr3 0.500 0.000 0.250
Cr4 0.500 0.500 0.000
In1 0.208 0.250 0.625
In2 0.250 0.708 0.875
In3 0.250 0.792 0.375
In4 0.292 0.250 0.125
In5 0.708 0.750 0.125
In6 0.750 0.208 0.375
In7 0.750 0.292 0.875
In8 0.792 0.750 0.625

[2]
An optimized crystal structure of KCu2O, computed with GGA-PBE.

calculated volume	21.7	Å³ per atom
Fermi-level density of states	3.4	states/eV per cell
ΔE_f (raw)	-266	meV/atom

Unit cell a=6.265 b=6.265 c=8.832 alpha=90.00 beta=90.00 gamma=90.00
Fractional coordinates of all 16 atoms:
K1 0.000 0.250 0.375
K2 0.000 0.750 0.625
K3 0.500 0.250 0.125
K4 0.500 0.750 0.875
Cu1 0.000 0.000 0.000
Cu2 0.000 0.500 0.000
Cu3 0.250 0.250 0.750
Cu4 0.250 0.750 0.250
Cu5 0.500 0.000 0.500
Cu6 0.500 0.500 0.500
Cu7 0.750 0.250 0.750
Cu8 0.750 0.750 0.250
O1 0.000 0.250 0.875
O2 0.000 0.750 0.125
O3 0.500 0.250 0.625
O4 0.500 0.750 0.375

[3]
An optimized crystal structure of PW2AuBr, computed with GGA-PBE.

calculated volume	20.1	Å³ per atom
Fermi-level density of states	4.5	states/eV per cell
ΔE_f (raw)	1298	meV/atom

Unit cell a=4.605 b=4.605 c=4.729 alpha=90.00 beta=90.00 gamma=90.00
Fractional coordinates of all 5 atoms:
P1 0.000 0.000 0.000
W1 0.000 0.500 0.000
W2 0.500 0.000 0.000
Au1 0.000 0.000 0.500
Br1 0.500 0.500 0.500

[4]
An optimized crystal structure of LiSe2N2, computed with GGA-PBE.

calculated volume	13.7	Å³ per atom
Fermi-level density of states	3.5	states/eV per cell
ΔE_f (raw)	1944	meV/atom

Unit cell a=4.527 b=4.527 c=3.347 alpha=90.00 beta=90.00 gamma=90.00
Fractional coordinates of all 5 atoms:
Li1 0.000 0.000 0.000
Se1 0.000 0.500 0.000
Se2 0.500 0.000 0.000
N1 0.000 0.000 0.500
N2 0.500 0.500 0.500

[5]
An optimized crystal structure of Te2RhPb, computed with GGA-PBE.

calculated volume	26.7	Å³ per atom
Fermi-level density of states	7.3	states/eV per cell
ΔE_f (raw)	-234	meV/atom

Unit cell a=4.046 b=4.046 c=22.633 alpha=90.00 beta=90.00 gamma=120.00
Fractional coordinates of all 12 atoms:
Te1 0.000 0.000 0.227
Te2 0.000 0.000 0.773
Te3 0.333 0.667 0.440
Te4 0.333 0.667 0.894
Te5 0.667 0.333 0.106
Te6 0.667 0.333 0.560
Rh1 0.000 0.000 0.500
Rh2 0.333 0.667 0.167
Rh3 0.667 0.333 0.833
Pb1 0.000 0.000 0.000
Pb2 0.333 0.667 0.667
Pb3 0.667 0.333 0.333

[6]
An optimized crystal structure of Rb2ZrNi, computed with GGA-PBE.

calculated volume	37.1	Å³ per atom
DFT formation energy	1.6108	eV/atom
Fermi-level density of states	72.5	states/eV per cell

Unit cell a=8.407 b=8.407 c=8.407 alpha=90.00 beta=90.00 gamma=90.00
Fractional coordinates of all 16 atoms:
Rb1 0.250 0.250 0.250
Rb2 0.250 0.250 0.750
Rb3 0.250 0.750 0.250
Rb4 0.250 0.750 0.750
Rb5 0.750 0.250 0.250
Rb6 0.750 0.250 0.750
Rb7 0.750 0.750 0.250
Rb8 0.750 0.750 0.750
Zr1 0.000 0.000 0.000
Zr2 0.000 0.500 0.500
Zr3 0.500 0.000 0.500
Zr4 0.500 0.500 0.000
Ni1 0.000 0.000 0.500
Ni2 0.000 0.500 0.000
Ni3 0.500 0.000 0.000
Ni4 0.500 0.500 0.500

[7]
An optimized crystal structure of SrCdHg2, computed with GGA-PBE.

calculated volume	27.7	Å³ per atom
DFT formation energy	-0.3227	eV/atom
Fermi-level density of states	1.9	states/eV per cell

Unit cell a=3.912 b=3.884 c=7.292 alpha=90.00 beta=90.40 gamma=90.00
Fractional coordinates of all 4 atoms:
Sr1 0.000 0.000 0.000
Cd1 0.000 0.000 0.500
Hg1 0.496 0.500 0.724
Hg2 0.504 0.500 0.276

[8]
An optimized crystal structure of TmZr3N, computed with GGA-PBE.

calculated volume	19.9	Å³ per atom
Fermi-level density of states	4.2	states/eV per cell
ΔE_f (raw)	-617	meV/atom

Unit cell a=4.634 b=4.634 c=4.634 alpha=90.00 beta=90.00 gamma=90.00
Fractional coordinates of all 5 atoms:
Tm1 0.000 0.000 0.000
Zr1 0.000 0.500 0.500
Zr2 0.500 0.000 0.500
Zr3 0.500 0.500 0.000
N1 0.500 0.500 0.500

no.,spin magnetization (Bohr magnetons per cell)
1,0.025
2,0.000
3,1.057
4,0.331
5,0.000
6,9.459
7,0.000
8,0.000